Entry from Alexandria: an optimized crystal structure of Ba2NaCoPd (PBE-GGA).

Computed properties:
Total magnetic moment, μB per formula unit: 1.6
Formation energy, eV per atom: 0.178
Final energy, eV/cell: -16.57
SG: P4/mmm (123)

Geometry as POSCAR:
```
Ba2NaCoPd
1.0
6.228 0.000 0.000
0.000 6.228 0.000
0.000 0.000 4.843
Ba Na Co Pd
2 1 1 1
Cartesian
0.000 3.114 0.000
3.114 0.000 0.000
0.000 0.000 2.422
3.114 3.114 2.422
3.114 3.114 0.000
```



Entry from Alexandria: an optimized crystal structure of BaNaTlCo2 (PBE-GGA).

Computed properties:
Total magnetic moment, μB per formula unit: 2.9
Formation energy, eV per atom: 1.276
Final energy, eV/cell: -13.44
SG: P4/mmm (123)

Geometry as POSCAR:
```
BaNaTlCo2
1.0
5.057 0.000 0.000
0.000 5.057 0.000
0.000 0.000 5.700
Ba Na Tl Co
1 1 1 2
Cartesian
0.000 0.000 0.000
0.000 0.000 2.850
2.529 2.529 0.000
0.000 2.529 2.850
2.529 0.000 2.850
```



Entry from Alexandria: an optimized crystal structure of BaNbCo3 (PBE-GGA).

Computed properties:
Total magnetic moment, μB per formula unit: 0.0
Formation energy, eV per atom: 2.367
Distance to the lowest polymorph of the same formula, eV per atom: 1.5017
Final energy, eV/cell: -21.47
SG: Pm-3m (221)

Geometry as POSCAR:
```
BaNbCo3
1.0
4.631 0.000 0.000
0.000 4.631 0.000
0.000 0.000 4.631
Ba Nb Co
1 1 3
Cartesian
0.000 0.000 0.000
2.315 2.315 2.315
0.000 0.000 2.315
0.000 2.315 0.000
2.315 0.000 0.000
```



Entry from Alexandria: an optimized crystal structure of BaNb2Co2 (PBE-GGA).

Computed properties:
Total magnetic moment, μB per formula unit: 0.0
Formation energy, eV per atom: 0.222
Final energy, eV/cell: -35.16
SG: I4/mmm (139)

Geometry as POSCAR:
```
BaNb2Co2
1.0
-2.159 2.159 5.884
2.159 -2.159 5.884
2.159 2.159 -5.884
Ba Nb Co
1 2 2
Cartesian
0.000 0.000 0.000
2.159 0.000 2.942
0.000 2.159 2.942
0.000 0.000 4.149
0.000 0.000 7.618
```



Entry from Alexandria: an optimized crystal structure of BaNbCo3 (PBE-GGA).

Computed properties:
Total magnetic moment, μB per formula unit: 1.8
Formation energy, eV per atom: 0.865
Distance to the lowest polymorph of the same formula, eV per atom: 0.0000
Final energy, eV/cell: -28.98
SG: Pm-3m (221)

Geometry as POSCAR:
```
BaNbCo3
1.0
4.729 0.000 0.000
0.000 4.729 0.000
0.000 0.000 4.729
Ba Nb Co
1 1 3
Cartesian
0.000 0.000 0.000
2.364 2.364 2.364
0.000 2.364 2.364
2.364 0.000 2.364
2.364 2.364 0.000
```



Entry from Alexandria: an optimized crystal structure of BaNbCo2 (PBE-GGA).

Computed properties:
Total magnetic moment, μB per formula unit: 0.8
Formation energy, eV per atom: 0.697
Distance to the lowest polymorph of the same formula, eV per atom: 0.0000
Final energy, eV/cell: -46.83
SG: I4_1/amd (141)

Geometry as POSCAR:
```
BaNbCo2
1.0
-2.530 2.530 7.760
2.530 -2.530 7.760
2.530 2.530 -7.760
Ba Nb Co
2 2 4
Cartesian
2.530 1.265 1.940
0.000 1.265 5.820
2.530 -1.265 5.820
0.000 3.796 1.940
0.000 0.000 0.000
1.265 1.265 -3.880
1.265 -1.265 3.880
0.000 2.530 0.000
```



Entry from Alexandria: an optimized crystal structure of BaNbCo2 (PBE-GGA).

Computed properties:
Total magnetic moment, μB per formula unit: 0.2
Formation energy, eV per atom: 0.942
Distance to the lowest polymorph of the same formula, eV per atom: 0.2448
Final energy, eV/cell: -22.44
SG: Fm-3m (225)

Geometry as POSCAR:
```
BaNbCo2
1.0
0.000 3.336 3.336
3.336 0.000 3.336
3.336 3.336 0.000
Ba Nb Co
1 1 2
Cartesian
0.000 0.000 0.000
3.336 3.336 3.336
1.668 1.668 1.668
5.004 5.004 5.004
```